Compound: Eu2AlF
Source: the Alexandria database
Functional: PBE-GGA
Structure: relaxed

```
Eu2AlF
1.0
3.3196 0.0000 0.0000
0.0000 3.3196 0.0000
0.0000 0.0000 8.2314
Eu Al F
2 1 1
Direct
0.0000 0.0000 0.2258
0.0000 0.0000 0.7742
0.5000 0.5000 0.5000
0.5000 0.5000 0.0000
```

Computed properties:
Its total DFT energy (no corrections) is -7.733 eV/atom. Its symmetry is No. 123.


Compound: EuAl8Fe2
Source: the Alexandria database
Functional: PBE-GGA
Structure: relaxed

```
EuAl8Fe2
1.0
12.5124 0.0000 0.0000
0.0000 14.5136 0.0000
0.0000 0.0000 3.9842
Eu Al Fe
4 32 8
Direct
0.1598 0.1818 0.0000
0.3402 0.6818 0.0000
0.6598 0.3182 0.0000
0.8402 0.8182 0.0000
0.0000 0.0000 0.0000
0.0000 0.5000 0.5000
0.0262 0.8673 0.5000
0.0470 0.3217 0.5000
0.0948 0.7456 0.0000
0.1593 0.6186 0.5000
0.1619 0.4531 0.0000
0.1667 0.0070 0.5000
0.2358 0.8290 0.5000
0.2642 0.3290 0.5000
0.3333 0.5070 0.5000
0.3381 0.9531 0.0000
0.3407 0.1186 0.5000
0.4052 0.2456 0.0000
0.4530 0.8217 0.5000
0.4738 0.3673 0.5000
0.5000 0.0000 0.5000
0.5000 0.5000 0.0000
0.5262 0.6327 0.5000
0.5470 0.1783 0.5000
0.5948 0.7544 0.0000
0.6593 0.8814 0.5000
0.6619 0.0469 0.0000
0.6667 0.4930 0.5000
0.7358 0.6710 0.5000
0.7642 0.1710 0.5000
0.8333 0.9930 0.5000
0.8381 0.5469 0.0000
0.8407 0.3814 0.5000
0.9052 0.2544 0.0000
0.9530 0.6783 0.5000
0.9738 0.1327 0.5000
0.0365 0.5912 0.0000
0.1490 0.9009 0.0000
0.3510 0.4009 0.0000
0.4635 0.0912 0.0000
0.5365 0.9088 0.0000
0.6490 0.5991 0.0000
0.8510 0.0991 0.0000
0.9635 0.4088 0.0000
```

Computed properties:
The value obtained for the energy of formation from the pure elements is -36 kJ/mol of atoms. Its symmetry is No. 55.


Compound: EuAl2Ga2
Source: the Alexandria database
Functional: PBE-GGA
Structure: relaxed

```
EuAl2Ga2
1.0
-2.1582 2.1582 5.4940
2.1582 -2.1582 5.4940
2.1582 2.1582 -5.4940
Eu Al Ga
1 2 2
Direct
0.0000 0.0000 0.0000
0.2500 0.7500 0.5000
0.7500 0.2500 0.5000
0.3858 0.3858 0.0000
0.6142 0.6142 0.0000
```

Computed properties:
The value obtained for the energy of formation from the pure elements is -40 kJ/mol of atoms. Its symmetry is No. 139.


Compound: EuAlGa4
Source: the Alexandria database
Functional: PBE-GGA
Structure: relaxed

```
EuAlGa4
1.0
0.0000 3.9582 3.9582
3.9582 0.0000 3.9582
3.9582 3.9582 0.0000
Eu Al Ga
1 1 4
Direct
0.0000 0.0000 0.0000
0.2500 0.2500 0.2500
0.1256 0.6248 0.6248
0.6248 0.1256 0.6248
0.6248 0.6248 0.1256
0.6248 0.6248 0.6248
```

Computed properties:
The value obtained for the energy of formation from the pure elements is -15 kJ/mol of atoms. Its symmetry is No. 216.


Compound: EuAl2Ga
Source: the Alexandria database
Functional: PBE-GGA
Structure: relaxed

```
EuAl2Ga
1.0
1.6074 0.9281 10.3109
-1.6074 0.9281 10.3109
0.0000 -1.8561 10.3109
Eu Al Ga
1 2 1
Direct
0.0000 0.0000 0.0000
0.1000 0.1000 0.1000
0.9000 0.9000 0.9000
0.5000 0.5000 0.5000
```

Computed properties:
The value obtained for the energy of formation from the pure elements is 27 kJ/mol of atoms. Its symmetry is No. 166.


Compound: Eu2Al3Ga
Source: the Alexandria database
Functional: PBE-GGA
Structure: relaxed

```
Eu2Al3Ga
1.0
2.8320 1.6351 4.6960
-2.8320 1.6351 4.6960
0.0000 -3.2701 4.6960
Eu Al Ga
2 3 1
Direct
0.1257 0.1257 0.1257
0.8743 0.8743 0.8743
0.0000 0.5000 0.5000
0.5000 0.0000 0.5000
0.5000 0.5000 0.0000
0.5000 0.5000 0.5000
```

Computed properties:
The value obtained for the energy of formation from the pure elements is -40 kJ/mol of atoms. Its symmetry is No. 166.